The following is a DFT calculation (GGA-PBE) of Li4U3IrS8 after structural relaxation.

```
Li4U3IrS8
1.0
3.686 2.128 6.375
-3.686 2.128 6.375
0.000 -4.257 6.375
Li U Ir S
4 3 1 8
direct
0.000 0.000 0.000
0.000 0.500 0.500
0.500 0.000 0.500
0.500 0.500 0.000
0.000 0.000 0.500
0.000 0.500 0.000
0.500 0.000 0.000
0.500 0.500 0.500
0.256 0.256 0.256
0.262 0.262 0.729
0.262 0.729 0.262
0.271 0.738 0.738
0.729 0.262 0.262
0.738 0.271 0.738
0.738 0.738 0.271
0.744 0.744 0.744
```

Properties
Formation energy from raw total energies in meV per atom: -1173
Total magnetization in μB per cell: 7.65
D(E_F) in states/eV/cell: 10.8